A:
This record from the Alexandria database describes Ba2FeOs after structural relaxation. The functional is PBE.

Unit cell a=5.261 b=5.261 c=5.261 alpha=60.00 beta=60.00 gamma=60.00
Atoms (fractional coordinates):
Ba 0.000 0.000 0.000
Ba 0.250 0.250 0.250
Os 0.750 0.750 0.750
Fe 0.500 0.500 0.500

Values from the calculation:
The calculation puts the total moment at 4.05 μB per cell. Its space group is F-43m.

B:
This record from the Alexandria database describes Ba2FeOs after structural relaxation. The functional is PBE.

Unit cell a=7.708 b=7.708 c=7.708 alpha=149.33 beta=144.14 gamma=47.88
Atoms (fractional coordinates):
Ba 0.748 0.248 0.500
Ba 0.999 0.999 0.000
Fe 0.411 0.411 0.000
Os 0.342 0.842 0.500

Values from the calculation:
The calculation puts the total moment at 1.15 μB per cell. Its space group is Imm2.

C:
This record from the Alexandria database describes Ba2FeOs after structural relaxation. The functional is PBE.

Unit cell a=4.181 b=4.962 c=6.400 alpha=67.22 beta=90.00 gamma=90.00
Atoms (fractional coordinates):
Os 0.500 0.585 0.705
Ba 0.000 0.982 0.910
Ba 0.500 0.267 0.340
Fe 0.000 0.665 0.545

Values from the calculation:
The calculation puts the total moment at 1.61 μB per cell. Its space group is Amm2.

D:
This record from the Alexandria database describes Ba2FeOs after structural relaxation. The functional is PBE.

Unit cell a=5.569 b=5.569 c=3.642 alpha=90.00 beta=90.00 gamma=90.00
Atoms (fractional coordinates):
Ba 0.000 0.000 0.000
Ba 0.500 0.500 0.000
Os 0.000 0.500 0.500
Fe 0.500 0.000 0.500

Values from the calculation:
The calculation puts the total moment at 3.93 μB per cell. Its space group is P4/mmm.

Verdict on stability: C comes out on top.